DFT (PBE-GGA) results for an optimized crystal structure of Tb2YTh2.

Computed properties:
SG: Fddd
Calculated formation energy: 0.4492 eV per atom

Lattice parameters (Å, degrees): 14.3114 11.6586 8.6571 88.28 54.52 37.20
Last column: nearest neighbours and their distance in Å.
Fractional positions:
Tb: 0.0457 0.7043 0.0457  4 Tb 3.20-3.48, 2 Th 3.26, 2 Y 3.38
Tb: 0.2957 0.9543 0.2957  4 Tb 3.20-3.48, 2 Th 3.26, 2 Y 3.38
Tb: 0.7043 0.0457 0.7043  4 Tb 3.20-3.48, 2 Th 3.26, 2 Y 3.38
Tb: 0.9543 0.2957 0.9543  4 Tb 3.20-3.48, 2 Th 3.26, 2 Y 3.38
Y: 0.3750 0.3750 0.3750  4 Tb 3.38, 2 Y 3.48, 4 Th 3.60
Y: 0.6250 0.6250 0.6250  4 Tb 3.38, 2 Y 3.48, 4 Th 3.60
Th: 0.0000 0.5000 0.5000  2 Tb 3.26, 2 Th 3.48, 2 Y 3.60
Th: 0.5000 0.0000 0.5000  2 Tb 3.26, 2 Th 3.48, 2 Y 3.60
Th: 0.5000 0.5000 0.0000  2 Tb 3.26, 2 Th 3.48, 2 Y 3.60
Th: 0.5000 0.5000 0.5000  2 Tb 3.26, 2 Th 3.48, 2 Y 3.60



DFT (PBE-GGA) results for an optimized crystal structure of ScRh2Cl.

Computed properties:
SG: Pmmm
E_form (uncorrected): -322 meV/atom

Lattice parameters (Å, degrees): 3.0102 4.5251 4.6537 90.00 90.00 90.00
Last column: nearest neighbours and their distance in Å.
Fractional positions:
Sc: 0.0000 0.0000 0.0000  4 Rh 2.72, 4 Cl 2.77, 2 Sc 3.01
Rh: 0.0000 0.5000 0.5000  4 Cl 2.72, 6 Rh 2.77-3.01
Rh: 0.5000 0.5000 0.0000  4 Sc 2.72, 6 Rh 2.77-3.01
Cl: 0.5000 0.0000 0.5000  4 Rh 2.72, 4 Sc 2.77, 2 Cl 3.01



DFT (PBE-GGA) results for an optimized crystal structure of TlOs2Pt.

Computed properties:
SG: Cmmm
Calculated formation energy: 0.9591 eV per atom

Lattice parameters (Å, degrees): 2.8456 2.8456 9.7093 90.00 90.00 120.50
Last column: nearest neighbours and their distance in Å.
Fractional positions:
Tl: 0.0000 0.0000 0.0000  6 Tl 2.82-2.85, 4 Os 2.91
Os: 0.5000 0.5000 0.2621  2 Pt 2.71, 6 Os 2.82-2.85, 2 Tl 2.91
Os: 0.5000 0.5000 0.7379  2 Pt 2.71, 6 Os 2.82-2.85, 2 Tl 2.91
Pt: 0.0000 0.0000 0.5000  4 Os 2.71, 6 Pt 2.82-2.85



DFT (PBE-GGA) results for an optimized crystal structure of AgOsAu4.

Computed properties:
SG: F-43m
Calculated formation energy: 0.7510 eV per atom

Lattice parameters (Å, degrees): 5.4268 5.4268 5.4268 60.00 60.00 60.00
Last column: nearest neighbours and their distance in Å.
Fractional positions:
Ag: 0.0000 0.0000 0.0000  12 Au 3.18, 4 Os 3.32
Os: 0.2500 0.2500 0.2500  12 Au 3.18, 4 Ag 3.32
Au: 0.1252 0.6249 0.6249  6 Au 2.71
Au: 0.6249 0.1252 0.6249  6 Au 2.71
Au: 0.6249 0.6249 0.1252  6 Au 2.71
Au: 0.6249 0.6249 0.6249  6 Au 2.71



Which formula does entry 4 have?
AgOsAu4